## CePr4Se7 (PBE)

Data for an optimized crystal structure of CePr4Se7.

Properties
V ... 706.2 Å³ per cell
Magnetization ... 0.092 μB per atom
Formation energy (no corrections) ... -1.858 eV/atom

Unit cell a=14.0286 b=4.1394 c=12.5834 alpha=90.00 beta=104.88 gamma=90.00
With the nearest neighbours (Å) after each atom.
Space group Cm (No. 8)
Asymmetric unit:
1 Ce 0.0000 0.0000 0.0000 (multiplicity 2)  6 Se 2.91-3.06
2 Pr 0.1133 0.0000 0.4216 (multiplicity 2)  6 Se 2.92-3.00
3 Pr 0.2267 0.0000 0.8444 (multiplicity 2)  6 Se 2.93-3.08
4 Pr 0.3129 0.5000 0.2330 (multiplicity 2)  7 Se 2.99-3.20
5 Pr 0.4144 0.0000 0.6129 (multiplicity 2)  7 Se 2.99-3.21
6 Se 0.0722 0.0000 0.6378 (multiplicity 2)  4 Pr 2.92-2.99
7 Se 0.1118 0.5000 0.9220 (multiplicity 2)  2 Ce 2.91, 2 Pr 2.94
8 Se 0.1544 0.0000 0.2048 (multiplicity 2)  1 Ce 2.91, 3 Pr 2.93-2.99
9 Se 0.2738 0.5000 0.4723 (multiplicity 2)  5 Pr 3.00-3.20
10 Se 0.3540 0.5000 0.7730 (multiplicity 2)  4 Pr 3.02-3.15, 1 Ce 3.06
11 Se 0.3752 0.0000 0.0720 (multiplicity 2)  2 Ce 3.00, 3 Pr 3.08-3.17
12 Se 0.4532 0.0000 0.3721 (multiplicity 2)  5 Pr 3.00-3.21